No. 1
First-principles (PBE) data for a geometry-optimized BeTc3 structure, as listed in OQMD via LeMat-Bulk.

abc: 4.361 5.126 4.750
angles: 90.00 90.00 90.00
Sites, in units of the cell vectors:
Be  0.250  0.250  0.158
Be  0.750  0.750  0.842
Tc  0.250  0.506  0.671
Tc  0.250  0.750  0.150
Tc  0.250  0.994  0.671
Tc  0.750  0.006  0.329
Tc  0.750  0.250  0.850
Tc  0.750  0.494  0.329

**Energy**: -8.715 eV per atom
**Symmetry**: Pmmn, No. 59

No. 2
First-principles (PBE) data for a geometry-optimized BeTc structure, as listed in OQMD via LeMat-Bulk.

abc: 3.191 3.191 3.191
angles: 60.00 60.00 60.00
Sites, in units of the cell vectors:
Be  0.000  0.000  0.000
Tc  0.500  0.500  0.500

**Polymorph energy (0 for the lowest one)**: 0.15 eV/f.u.
**Symmetry**: Fm-3m, No. 225

No. 3
First-principles (PBE) data for a geometry-optimized Be2Tc3 structure, as listed in OQMD via LeMat-Bulk.

abc: 6.198 6.198 3.033
angles: 90.00 90.00 90.00
Sites, in units of the cell vectors:
Be  0.122  0.378  0.000
Be  0.378  0.878  0.000
Be  0.622  0.122  0.000
Be  0.878  0.622  0.000
Tc  0.000  0.000  0.000
Tc  0.171  0.671  0.500
Tc  0.329  0.171  0.500
Tc  0.500  0.500  0.000
Tc  0.671  0.829  0.500
Tc  0.829  0.329  0.500

**Energy**: -7.923 eV per atom
**Symmetry**: P4/mbm, No. 127

No. 4
First-principles (PBE) data for a geometry-optimized Be22Tc structure, as listed in OQMD via LeMat-Bulk.

abc: 8.130 8.130 8.130
angles: 60.00 60.00 60.00
Sites, in units of the cell vectors:
Be  0.000  0.000  0.000
Be  0.000  0.000  0.500
Be  0.000  0.500  0.000
Be  0.000  0.500  0.500
Be  0.011  0.011  0.739
Be  0.011  0.739  0.011
Be  0.011  0.739  0.739
Be  0.175  0.175  0.443
Be  0.175  0.175  0.706
Be  0.175  0.443  0.175
Be  0.175  0.443  0.706
Be  0.175  0.706  0.175
Be  0.175  0.706  0.443
Be  0.261  0.261  0.989
Be  0.261  0.989  0.261
Be  0.261  0.989  0.989
Be  0.294  0.557  0.825
Be  0.294  0.825  0.557
Be  0.294  0.825  0.825
Be  0.443  0.175  0.175
Be  0.443  0.175  0.706
Be  0.443  0.706  0.175
Be  0.500  0.000  0.000
Be  0.500  0.000  0.500
Be  0.500  0.500  0.000
Be  0.500  0.500  0.500
Be  0.557  0.294  0.825
Be  0.557  0.825  0.294
Be  0.557  0.825  0.825
Be  0.706  0.175  0.175
Be  0.706  0.175  0.443
Be  0.706  0.443  0.175
Be  0.739  0.011  0.011
Be  0.739  0.011  0.739
Be  0.739  0.739  0.011
Be  0.825  0.294  0.557
Be  0.825  0.294  0.825
Be  0.825  0.557  0.294
Be  0.825  0.557  0.825
Be  0.825  0.825  0.294
Be  0.825  0.825  0.557
Be  0.989  0.261  0.261
Be  0.989  0.261  0.989
Be  0.989  0.989  0.261
Tc  0.375  0.375  0.375
Tc  0.625  0.625  0.625

**Energy**: -4.113 eV per atom
**Symmetry**: Fd-3m, No. 227

No. 5
First-principles (PBE) data for a geometry-optimized Be2Tc structure, as listed in OQMD via LeMat-Bulk.

abc: 7.222 7.222 7.222
angles: 60.00 60.00 60.00
Sites, in units of the cell vectors:
Be  0.000  0.000  0.000
Be  0.000  0.000  0.500
Be  0.000  0.500  0.000
Be  0.500  0.000  0.000
Tc  0.125  0.125  0.125
Tc  0.875  0.875  0.875

**Polymorph energy (0 for the lowest one)**: 8.47 eV/f.u.
**Symmetry**: Fd-3m, No. 227

No. 6
First-principles (PBE) data for a geometry-optimized Be17Tc2 structure, as listed in OQMD via LeMat-Bulk.

abc: 5.458 5.458 5.458
angles: 82.97 82.97 82.97
Sites, in units of the cell vectors:
Be  0.000  0.000  0.500
Be  0.000  0.303  0.697
Be  0.000  0.500  0.000
Be  0.000  0.697  0.303
Be  0.102  0.102  0.102
Be  0.161  0.649  0.649
Be  0.303  0.000  0.697
Be  0.303  0.697  0.000
Be  0.351  0.351  0.839
Be  0.351  0.839  0.351
Be  0.500  0.000  0.000
Be  0.649  0.161  0.649
Be  0.649  0.649  0.161
Be  0.697  0.000  0.303
Be  0.697  0.303  0.000
Be  0.839  0.351  0.351
Be  0.898  0.898  0.898
Tc  0.338  0.338  0.338
Tc  0.662  0.662  0.662

**Energy**: -4.610 eV per atom
**Symmetry**: R-3m, No. 166

No. 7
First-principles (PBE) data for a geometry-optimized BeTc structure, as listed in OQMD via LeMat-Bulk.

abc: 2.674 2.674 3.926
angles: 90.00 90.00 120.00
Sites, in units of the cell vectors:
Be  0.000  0.000  0.000
Tc  0.667  0.333  0.500

**Polymorph energy (0 for the lowest one)**: 0.00 eV/f.u.
**Symmetry**: P-6m2, No. 187

No. 8
First-principles (PBE) data for a geometry-optimized Be141Tc26 structure, as listed in OQMD via LeMat-Bulk.

abc: 15.562 15.562 7.069
angles: 90.00 90.00 120.00
Sites, in units of the cell vectors:
Be  0.000  0.000  0.000
Be  0.000  0.141  0.000
Be  0.000  0.162  0.500
Be  0.000  0.397  0.500
Be  0.000  0.408  0.000
Be  0.000  0.500  0.246
Be  0.000  0.500  0.754
Be  0.000  0.592  0.000
Be  0.000  0.603  0.500
Be  0.000  0.838  0.500
Be  0.000  0.859  0.000
Be  0.090  0.329  0.500
Be  0.090  0.761  0.500
Be  0.093  0.187  0.255
Be  0.093  0.187  0.745
Be  0.093  0.907  0.255
Be  0.093  0.907  0.745
Be  0.112  0.454  0.270
Be  0.112  0.454  0.730
Be  0.112  0.658  0.270
Be  0.112  0.658  0.730
Be  0.114  0.557  0.500
Be  0.130  0.404  0.000
Be  0.130  0.725  0.000
Be  0.136  0.272  0.000
Be  0.136  0.864  0.000
Be  0.141  0.000  0.000
Be  0.141  0.141  0.000
Be  0.162  0.000  0.500
Be  0.162  0.162  0.500
Be  0.180  0.359  0.254
Be  0.180  0.359  0.746
Be  0.180  0.820  0.254
Be  0.180  0.820  0.746
Be  0.187  0.093  0.255
Be  0.187  0.093  0.745
Be  0.233  0.617  0.301
Be  0.233  0.617  0.699
Be  0.239  0.329  0.500
Be  0.239  0.910  0.500
Be  0.259  0.519  0.146
Be  0.259  0.519  0.854
Be  0.259  0.741  0.146
Be  0.259  0.741  0.854
Be  0.272  0.136  0.000
Be  0.275  0.404  0.000
Be  0.275  0.870  0.000
Be  0.329  0.090  0.500
Be  0.329  0.239  0.500
Be  0.333  0.667  0.000
Be  0.342  0.454  0.270
Be  0.342  0.454  0.730
Be  0.342  0.888  0.270
Be  0.342  0.888  0.730
Be  0.359  0.180  0.254
Be  0.359  0.180  0.746
Be  0.383  0.617  0.301
Be  0.383  0.617  0.699
Be  0.383  0.767  0.301
Be  0.383  0.767  0.699
Be  0.397  0.000  0.500
Be  0.397  0.397  0.500
Be  0.404  0.130  0.000
Be  0.404  0.275  0.000
Be  0.408  0.000  0.000
Be  0.408  0.408  0.000
Be  0.443  0.557  0.500
Be  0.443  0.886  0.500
Be  0.454  0.112  0.270
Be  0.454  0.112  0.730
Be  0.454  0.342  0.270
Be  0.454  0.342  0.730
Be  0.481  0.741  0.146
Be  0.481  0.741  0.854
Be  0.500  0.000  0.246
Be  0.500  0.000  0.754
Be  0.500  0.500  0.246
Be  0.500  0.500  0.754
Be  0.519  0.259  0.146
Be  0.519  0.259  0.854
Be  0.546  0.658  0.270
Be  0.546  0.658  0.730
Be  0.546  0.888  0.270
Be  0.546  0.888  0.730
Be  0.557  0.114  0.500
Be  0.557  0.443  0.500
Be  0.592  0.000  0.000
Be  0.592  0.592  0.000
Be  0.596  0.725  0.000
Be  0.596  0.870  0.000
Be  0.603  0.000  0.500
Be  0.603  0.603  0.500
Be  0.617  0.233  0.301
Be  0.617  0.233  0.699
Be  0.617  0.383  0.301
Be  0.617  0.383  0.699
Be  0.641  0.820  0.254
Be  0.641  0.820  0.746
Be  0.658  0.112  0.270
Be  0.658  0.112  0.730
Be  0.658  0.546  0.270
Be  0.658  0.546  0.730
Be  0.667  0.333  0.000
Be  0.671  0.761  0.500
Be  0.671  0.910  0.500
Be  0.725  0.130  0.000
Be  0.725  0.596  0.000
Be  0.728  0.864  0.000
Be  0.741  0.259  0.146
Be  0.741  0.259  0.854
Be  0.741  0.481  0.146
Be  0.741  0.481  0.854
Be  0.761  0.090  0.500
Be  0.761  0.671  0.500
Be  0.767  0.383  0.301
Be  0.767  0.383  0.699
Be  0.813  0.907  0.255
Be  0.813  0.907  0.745
Be  0.820  0.180  0.254
Be  0.820  0.180  0.746
Be  0.820  0.641  0.254
Be  0.820  0.641  0.746
Be  0.838  0.000  0.500
Be  0.838  0.838  0.500
Be  0.859  0.000  0.000
Be  0.859  0.859  0.000
Be  0.864  0.136  0.000
Be  0.864  0.728  0.000
Be  0.870  0.275  0.000
Be  0.870  0.596  0.000
Be  0.886  0.443  0.500
Be  0.888  0.342  0.270
Be  0.888  0.342  0.730
Be  0.888  0.546  0.270
Be  0.888  0.546  0.730
Be  0.907  0.093  0.255
Be  0.907  0.093  0.745
Be  0.907  0.813  0.255
Be  0.907  0.813  0.745
Be  0.910  0.239  0.500
Be  0.910  0.671  0.500
Tc  0.000  0.000  0.331
Tc  0.000  0.000  0.669
Tc  0.000  0.274  0.202
Tc  0.000  0.274  0.798
Tc  0.000  0.726  0.202
Tc  0.000  0.726  0.798
Tc  0.144  0.572  0.000
Tc  0.248  0.497  0.500
Tc  0.248  0.752  0.500
Tc  0.274  0.000  0.202
Tc  0.274  0.000  0.798
Tc  0.274  0.274  0.202
Tc  0.274  0.274  0.798
Tc  0.428  0.572  0.000
Tc  0.428  0.856  0.000
Tc  0.497  0.248  0.500
Tc  0.503  0.752  0.500
Tc  0.572  0.144  0.000
Tc  0.572  0.428  0.000
Tc  0.726  0.000  0.202
Tc  0.726  0.000  0.798
Tc  0.726  0.726  0.202
Tc  0.726  0.726  0.798
Tc  0.752  0.248  0.500
Tc  0.752  0.503  0.500
Tc  0.856  0.428  0.000

**Energy**: -4.961 eV per atom
**Symmetry**: P6/mmm, No. 191